[1]
Cs3Tc5O12 | the Alexandria database | PBE | relaxed; formation energy without anion corrections = -121 kJ/mol of atoms
1.0
-10.510 4.367 3.189
2.451 -9.539 6.535
8.350 8.191 1.700
O Cs Tc
48 12 20
Direct
0.329 0.423 0.811
0.689 0.171 0.577
0.671 0.577 0.189
0.482 0.171 0.094
0.906 0.329 0.518
0.406 0.388 0.077
0.171 0.689 0.077
0.388 0.406 0.577
0.829 0.311 0.923
0.311 0.829 0.423
0.388 0.982 0.311
0.888 0.811 0.482
0.594 0.982 0.171
0.923 0.112 0.594
0.077 0.888 0.406
0.906 0.577 0.888
0.077 0.189 0.171
0.311 0.482 0.388
0.482 0.311 0.888
0.811 0.888 0.982
0.189 0.112 0.018
0.982 0.388 0.811
0.888 0.077 0.906
0.612 0.594 0.423
0.594 0.612 0.923
0.829 0.518 0.406
0.094 0.671 0.482
0.018 0.612 0.189
0.171 0.482 0.594
0.518 0.689 0.112
0.982 0.594 0.671
0.923 0.811 0.829
0.689 0.518 0.612
0.811 0.923 0.329
0.423 0.329 0.311
0.423 0.094 0.612
0.018 0.406 0.329
0.577 0.671 0.689
0.518 0.829 0.906
0.671 0.094 0.982
0.094 0.423 0.112
0.189 0.077 0.671
0.406 0.018 0.829
0.329 0.906 0.018
0.112 0.189 0.518
0.577 0.906 0.388
0.612 0.018 0.689
0.112 0.923 0.094
0.375 0.625 0.250
0.125 0.250 0.875
0.875 0.750 0.125
0.250 0.625 0.875
0.625 0.250 0.375
0.750 0.875 0.625
0.375 0.750 0.625
0.625 0.375 0.750
0.125 0.875 0.750
0.875 0.125 0.250
0.750 0.375 0.125
0.250 0.125 0.375
0.000 0.500 0.500
0.000 0.000 0.500
0.625 0.875 0.250
0.500 0.000 0.000
0.500 0.500 0.000
0.125 0.750 0.375
0.875 0.625 0.750
0.000 0.000 0.000
0.750 0.625 0.375
0.875 0.250 0.625
0.750 0.125 0.875
0.250 0.875 0.125
0.250 0.375 0.625
0.500 0.000 0.500
0.375 0.250 0.125
0.000 0.500 0.000
0.125 0.375 0.250
0.625 0.750 0.875
0.500 0.500 0.500
0.375 0.125 0.750

=====

[2]
TlSiSb3 | the Alexandria database | PBE | relaxed; offset from the most stable computed form = 0.8302 eV/atom; formation energy without anion corrections = 124 kJ/mol of atoms
1.0
-5.408 1.548 -0.347
-1.416 -5.265 -1.426
-0.716 -1.281 5.441
Tl Si Sb
1 1 3
Direct
0.000 0.000 0.000
0.500 0.500 0.500
0.500 0.000 0.000
0.000 0.500 0.000
0.000 0.000 0.500

=====

[3]
La4PrPb3 | the Alexandria database | PBE | relaxed; calculated formation energy = -558 meV/atom
1.0
-1.011 -5.994 2.058
7.683 -2.991 5.070
-4.282 0.266 8.676
Pr La Pb
2 8 6
Direct
0.250 0.500 0.500
0.750 0.500 0.500
0.220 0.696 0.865
0.280 0.135 0.304
0.915 0.865 0.304
0.585 0.696 0.135
0.085 0.135 0.696
0.415 0.304 0.865
0.720 0.865 0.696
0.780 0.304 0.135
0.840 0.500 0.821
0.160 0.500 0.179
0.750 0.000 0.000
0.340 0.821 0.500
0.250 0.000 0.000
0.660 0.179 0.500

=====

[4]
LaNdSm2Ho2 | the Alexandria database | PBE | relaxed; calculated formation energy = 263 meV/atom
1.0
-2.212 1.586 2.080
3.959 -1.225 5.145
8.650 15.840 -2.884
Sm Ho La Nd
4 4 2 2
Direct
0.000 0.783 0.189
0.000 0.217 0.811
0.500 0.717 0.689
0.500 0.283 0.311
0.500 0.215 0.648
0.000 0.285 0.148
0.000 0.715 0.852
0.500 0.785 0.352
0.000 0.000 0.000
0.500 0.500 0.500
0.000 0.000 0.500
0.500 0.500 0.000

=====

[5]
Nd3CoSeCl | the Alexandria database | PBE | relaxed; formation energy without anion corrections = -100 kJ/mol of atoms
1.0
3.880 0.000 0.000
0.000 7.881 -0.657
0.000 -2.757 10.427
Co Cl Se Nd
2 2 2 6
Direct
0.750 0.447 0.961
0.250 0.553 0.039
0.750 0.849 0.375
0.250 0.151 0.625
0.750 0.841 0.781
0.250 0.159 0.219
0.250 0.149 0.919
0.750 0.255 0.456
0.250 0.536 0.780
0.750 0.851 0.081
0.250 0.745 0.544
0.750 0.464 0.220

=====

[6]
AsOs2Pb | the Alexandria database | PBE | relaxed; offset from the most stable computed form = 0.4411 eV/atom; calculated formation energy = 841 meV/atom
1.0
-0.770 -1.052 -3.644
-0.432 -2.817 0.905
-6.398 1.185 1.011
Pb As Os
1 1 2
Direct
0.500 0.250 0.250
0.500 0.750 0.750
0.000 0.006 0.928
0.000 0.494 0.572

=====

[7]
K3In | the Alexandria database | PBE | relaxed; offset from the most stable computed form = 0.0000 eV/atom; calculated formation energy = -5 meV/atom
1.0
4.831 0.000 0.000
0.000 9.484 -0.711
0.000 0.780 9.479
In K
2 6
Direct
0.750 0.569 0.431
0.250 0.431 0.569
0.250 0.829 0.584
0.250 0.416 0.171
0.750 0.584 0.829
0.750 0.159 0.841
0.750 0.171 0.416
0.250 0.841 0.159

=====

[8]
AcLaIrAu | the Alexandria database | PBE | relaxed; offset from the most stable computed form = 0.0000 eV/atom; calculated formation energy = -661 meV/atom
1.0
4.379 0.000 0.000
0.000 4.372 0.262
0.000 -0.368 6.071
Au La Ir Ac
1 1 1 1
Direct
0.000 0.891 0.092
0.500 0.391 0.093
0.500 0.392 0.592
0.000 0.892 0.592

=====

[9]
ZnCd2Au5 | the Alexandria database | PBE | relaxed; offset from the most stable computed form = 0.0000 eV/atom; calculated formation energy = -143 meV/atom
1.0
5.656 0.657 0.937
-2.213 5.247 -0.937
-2.213 -2.666 4.615
Au Cd Zn
5 2 1
Direct
0.000 0.308 0.758
0.450 0.758 0.758
0.000 0.758 0.308
0.550 0.308 0.308
0.000 0.221 0.221
0.500 0.781 0.281
0.500 0.281 0.781
0.000 0.805 0.805

=====

[10]
PmDyAg4 | the Alexandria database | PBE | relaxed; offset from the most stable computed form = 0.1213 eV/atom; calculated formation energy = -164 meV/atom
1.0
-5.423 -1.878 0.039
-2.556 -1.490 -4.918
-1.133 -5.520 -1.087
Ag Pm Dy
4 1 1
Direct
0.126 0.625 0.625
0.625 0.625 0.625
0.625 0.126 0.625
0.625 0.625 0.126
0.000 0.000 0.000
0.250 0.250 0.250

=====

[11]
NdPuTl4 | the Alexandria database | PBE | relaxed; calculated formation energy = 6 meV/atom
1.0
6.253 0.000 0.000
3.127 5.415 0.000
3.127 1.805 5.106
Nd Tl Pu
1 4 1
Direct
0.250 0.250 0.250
0.125 0.625 0.625
0.625 0.625 0.125
0.625 0.125 0.625
0.625 0.625 0.625
0.000 0.000 0.000

=====

no.,E (Ry per atom),total magnetic moment (μB per cell)
1,-0.5106,8.49
2,-0.2017,0.00
3,-0.3682,3.11
4,-0.3272,0.00
5,-0.4035,1.75
6,-0.5044,0.00
7,-0.1112,0.00
8,-0.4377,0.00
9,-0.1896,0.00
10,-0.2663,0.00
11,-0.3494,6.75